1.
Entry from OQMD via LeMat-Bulk: a relaxed ErMgGe crystal (PBE).

a = 4.641 Å, b = 4.641 Å, c = 4.641 Å
α = 60.00°, β = 60.00°, γ = 60.00°
Element x y z (fractional)
1 Er 0.250 0.250 0.250
2 Ge 0.000 0.000 0.000
3 Mg 0.750 0.750 0.750

Calculated values
**Calculated total energy**: -0.148 Ha/atom
**Space-group type**: F-43m

=====

2.
Entry from OQMD via LeMat-Bulk: a relaxed TbErMg2Ge2 crystal (PBE).

a = 8.181 Å, b = 8.181 Å, c = 8.181 Å
α = 150.42°, β = 150.42°, γ = 42.33°
Element x y z (fractional)
1 Er 0.670 0.670 0.000
2 Ge 0.136 0.136 0.000
3 Ge 0.864 0.864 0.000
4 Mg 0.500 0.000 0.500
5 Mg 0.000 0.500 0.500
6 Tb 0.330 0.330 0.000

Calculated values
**Calculated total energy**: -0.156 Ha/atom
**Space-group type**: I4mm

=====

3.
Entry from OQMD via LeMat-Bulk: a relaxed ErGeMo crystal (PBE).

a = 4.725 Å, b = 4.725 Å, c = 4.725 Å
α = 60.00°, β = 60.00°, γ = 60.00°
Element x y z (fractional)
1 Er 0.000 0.000 0.000
2 Ge 0.250 0.250 0.250
3 Mo 0.750 0.750 0.750

Calculated values
**Calculated total energy**: -0.209 Ha/atom
**Space-group type**: F-43m

=====

4.
Entry from OQMD via LeMat-Bulk: a relaxed ErGeMo crystal (PBE).

a = 4.489 Å, b = 4.489 Å, c = 4.489 Å
α = 60.00°, β = 60.00°, γ = 60.00°
Element x y z (fractional)
1 Er 0.250 0.250 0.250
2 Ge 0.000 0.000 0.000
3 Mo 0.750 0.750 0.750

Calculated values
**Calculated total energy**: -0.244 Ha/atom
**Space-group type**: F-43m

=====

5.
Entry from OQMD via LeMat-Bulk: a relaxed ErGeN4 crystal (PBE).

a = 4.830 Å, b = 4.830 Å, c = 3.364 Å
α = 90.00°, β = 90.00°, γ = 92.28°
Element x y z (fractional)
1 Er 0.000 0.000 0.000
2 Ge 0.500 0.500 0.500
3 N 0.668 0.332 0.000
4 N 0.332 0.668 0.000
5 N 0.226 0.226 0.500
6 N 0.774 0.774 0.500

Calculated values
**Calculated total energy**: -0.227 Ha/atom
**Space-group type**: Cmmm

=====

6.
Entry from OQMD via LeMat-Bulk: a relaxed Er5Ge3N crystal (PBE).

a = 8.354 Å, b = 8.354 Å, c = 6.293 Å
α = 90.00°, β = 90.00°, γ = 120.00°
Element x y z (fractional)
1 Er 0.667 0.333 0.000
2 Er 0.333 0.667 0.000
3 Er 0.222 0.000 0.250
4 Er 0.000 0.222 0.250
5 Er 0.778 0.778 0.250
6 Er 0.667 0.333 0.500
7 Er 0.333 0.667 0.500
8 Er 0.778 0.000 0.750
9 Er 0.222 0.222 0.750
10 Er 0.000 0.778 0.750
11 Ge 0.596 0.000 0.250
12 Ge 0.404 0.404 0.250
13 Ge 0.000 0.596 0.250
14 Ge 0.404 0.000 0.750
15 Ge 0.000 0.404 0.750
16 Ge 0.596 0.596 0.750
17 N 0.000 0.000 0.000
18 N 0.000 0.000 0.500

Calculated values
**Calculated total energy**: -0.223 Ha/atom
**Space-group type**: P6_3/mcm

=====

7.
Entry from OQMD via LeMat-Bulk: a relaxed ErGeNO crystal (PBE).

a = 3.993 Å, b = 3.993 Å, c = 7.147 Å
α = 90.00°, β = 90.00°, γ = 90.00°
Element x y z (fractional)
1 Er 0.250 0.250 0.139
2 Er 0.750 0.750 0.861
3 Ge 0.750 0.250 0.500
4 Ge 0.250 0.750 0.500
5 N 0.750 0.750 0.372
6 N 0.250 0.250 0.628
7 O 0.750 0.250 0.000
8 O 0.250 0.750 0.000

Calculated values
**Relative energy among the computed polymorphs**: 0.352 eV/atom
**Space-group type**: P4/nmm

=====

8.
Entry from OQMD via LeMat-Bulk: a relaxed ErGeNO crystal (PBE).

a = 4.714 Å, b = 4.714 Å, c = 4.827 Å
α = 90.00°, β = 90.00°, γ = 90.00°
Element x y z (fractional)
1 Er 0.750 0.250 0.500
2 Er 0.250 0.750 0.500
3 Ge 0.750 0.750 0.010
4 Ge 0.250 0.250 0.990
5 N 0.750 0.750 0.405
6 N 0.250 0.250 0.595
7 O 0.750 0.250 0.000
8 O 0.250 0.750 0.000

Calculated values
**Relative energy among the computed polymorphs**: 0.149 eV/atom
**Space-group type**: P4/nmm